A plane-wave DFT calculation with GGA+U was carried out for a geometry-optimized KV2FeAg2O8 structure. Values from VASP.

The structure in Quantum ESPRESSO input format:
```
&SYSTEM
  ibrav = 0, nat = 14, ntyp = 5
/
ATOMIC_SPECIES
O 16.00 O.upf
Ag 107.87 Ag.upf
V 50.94 V.upf
Fe 55.84 Fe.upf
K 39.10 K.upf
ATOMIC_POSITIONS crystal
O 0.6713 0.7485 0.3407
O 0.7485 0.0772 0.6593
O 0.3333 0.6667 0.0425
O 0.9228 0.6713 0.6593
O 0.0772 0.3287 0.3407
O 0.2515 0.9228 0.3407
O 0.6667 0.3333 0.9575
O 0.3287 0.2515 0.6593
Ag 0.3333 0.6667 0.7289
Ag 0.6667 0.3333 0.2711
V 0.3333 0.6667 0.2675
V 0.6667 0.3333 0.7325
Fe 0.0000 0.0000 0.5000
K 0.0000 0.0000 0.0000
CELL_PARAMETERS angstrom
5.5339 0.0000 0.0000
-2.7670 4.7925 0.0000
0.0000 0.0000 7.4905
```

Properties
**Calculated volume**: 14.19 A^3/atom
**Uncorrected energy**: -6.263 eV/atom